# 1
Density functional theory data (GGA-PBE) for a relaxed CsMgTl11 crystal.

a = 6.404 Å, b = 8.665 Å, c = 8.645 Å
α = 82.88°, β = 68.26°, γ = 70.45°
Atoms (fractional coordinates):
Tl1 0.506 0.223 0.787
Tl2 0.000 0.000 0.500
Tl3 0.641 0.362 0.356
Tl4 0.997 0.362 0.644
Tl5 0.708 0.777 0.787
Tl6 0.359 0.638 0.644
Tl7 0.494 0.777 0.213
Tl8 0.292 0.223 0.213
Tl9 0.003 0.638 0.356
Tl10 0.500 0.000 0.500
Tl11 0.000 0.500 0.000
Mg1 0.500 0.500 0.000
Cs1 0.000 0.000 0.000

## Properties
ΔE_f: -0.02 eV per atom


# 2
Density functional theory data (GGA-PBE) for a relaxed Pu2ClF7 crystal.

a = 4.411 Å, b = 6.299 Å, c = 6.299 Å
α = 103.73°, β = 90.00°, γ = 90.00°
Atoms (fractional coordinates):
F1 0.000 0.307 0.693
F2 0.500 0.500 0.500
F3 0.500 0.910 0.641
F4 0.500 0.359 0.090
F5 0.500 0.090 0.359
F6 0.000 0.693 0.307
F7 0.500 0.641 0.910
Cl1 0.000 0.000 0.000
Pu1 0.500 0.730 0.270
Pu2 0.500 0.270 0.730

## Properties
raw formation energy: -3.060 eV per atom


# 3
Density functional theory data (GGA-PBE) for a relaxed La2ReTe crystal.

a = 8.300 Å, b = 8.300 Å, c = 6.733 Å
α = 51.94°, β = 51.94°, γ = 90.00°
Atoms (fractional coordinates):
Te1 0.500 0.500 0.000
Te2 0.250 0.750 0.500
La1 0.688 0.125 0.250
La2 0.375 0.312 0.750
La3 0.062 0.625 0.250
La4 0.875 0.938 0.750
Re1 0.750 0.250 0.500
Re2 0.000 0.000 0.000

## Properties
raw formation energy: -0.106 eV per atom


# 4
Density functional theory data (GGA-PBE) for a relaxed LaPrGaCu crystal.

a = 5.246 Å, b = 5.246 Å, c = 5.246 Å
α = 60.00°, β = 60.00°, γ = 60.00°
Atoms (fractional coordinates):
Cu1 0.000 0.000 0.000
La1 0.250 0.250 0.250
Pr1 0.750 0.750 0.750
Ga1 0.500 0.500 0.500

## Properties
ΔE_f: -0.33 eV per atom


Number 1: E -0.081 Ha/atom, magnetic moment 0.0 μB/cell. Number 2: E -0.273 Ha/atom, magnetic moment 8.0 μB/cell. Number 3: E -0.238 Ha/atom, magnetic moment 0.0 μB/cell. Number 4: E -0.167 Ha/atom, magnetic moment 0.0 μB/cell.